Arrangement 1

This record from Alexandria via LeMat-Bulk describes Y2Co2Au after structural relaxation. The functional is PBE.

abc: 3.408 3.408 8.942
angles: 79.02 79.02 90.00
Element x y z (fractional)
1 Y 0.386 0.386 0.228
2 Y 0.614 0.614 0.772
3 Co 0.750 0.250 0.500
4 Co 0.250 0.750 0.500
5 Au 0.000 0.000 0.000

Values from the calculation:
The value obtained for the total magnetization is 2.44 μB/f.u. The calculated volume comes out at 100 Å³ per cell. The space-group type is I4/mmm, No. 139.

---

Arrangement 2

This record from Alexandria via LeMat-Bulk describes Y2Co2Au after structural relaxation. The functional is PBE.

abc: 6.992 6.992 3.863
angles: 90.00 90.00 90.00
Element x y z (fractional)
1 Y 0.181 0.681 0.500
2 Y 0.681 0.819 0.500
3 Y 0.819 0.319 0.500
4 Y 0.319 0.181 0.500
5 Co 0.385 0.885 0.000
6 Co 0.885 0.615 0.000
7 Co 0.615 0.115 0.000
8 Co 0.115 0.385 0.000
9 Au 0.000 0.000 0.000
10 Au 0.500 0.500 0.000

Values from the calculation:
The value obtained for the total magnetization is 0.42 μB/f.u. The calculated volume comes out at 189 Å³ per cell. The space-group type is P4/mbm, No. 127.

---

Relative energies, meV/atom: arrangement 1 143; arrangement 2 0.

---

Arrangement 1

This record from Alexandria via LeMat-Bulk describes YCo2Au2 after structural relaxation. The functional is PBE.

abc: 4.096 4.096 6.114
angles: 70.43 70.43 90.00
Element x y z (fractional)
1 Y 0.000 0.000 0.000
2 Co 0.402 0.402 0.196
3 Co 0.598 0.598 0.804
4 Au 0.750 0.250 0.500
5 Au 0.250 0.750 0.500

Values from the calculation:
The value obtained for the total magnetization is 2.79 μB/f.u. The calculated volume comes out at 90 Å³ per cell. The space-group type is I4/mmm, No. 139.

---

Arrangement 2

This record from Alexandria via LeMat-Bulk describes YCo2Au2 after structural relaxation. The functional is PBE.

abc: 7.098 7.098 3.392
angles: 90.00 90.00 90.00
Element x y z (fractional)
1 Y 0.000 0.000 0.000
2 Y 0.500 0.500 0.000
3 Co 0.385 0.885 0.000
4 Co 0.885 0.615 0.000
5 Co 0.615 0.115 0.000
6 Co 0.115 0.385 0.000
7 Au 0.177 0.677 0.500
8 Au 0.677 0.823 0.500
9 Au 0.823 0.323 0.500
10 Au 0.323 0.177 0.500

Values from the calculation:
The value obtained for the total magnetization is 2.52 μB/f.u. The calculated volume comes out at 171 Å³ per cell. The space-group type is P4/mbm, No. 127.

---

Relative energies, meV/atom: arrangement 1 0; arrangement 2 62.

---

Arrangement 1

This record from Alexandria via LeMat-Bulk describes YCo2Au2 after structural relaxation. The functional is PBE.

abc: 3.710 3.710 7.102
angles: 74.86 74.86 90.00
Element x y z (fractional)
1 Y 0.000 0.000 0.000
2 Co 0.750 0.250 0.500
3 Co 0.250 0.750 0.500
4 Au 0.392 0.392 0.215
5 Au 0.608 0.608 0.785

Values from the calculation:
The value obtained for the total magnetization is 3.18 μB/f.u. The calculated volume comes out at 91 Å³ per cell. The space-group type is I4/mmm, No. 139.

---

Arrangement 2

This record from Alexandria via LeMat-Bulk describes YCo2Au2 after structural relaxation. The functional is PBE.

abc: 5.298 5.298 4.568
angles: 90.00 90.00 90.00
Element x y z (fractional)
1 Y 0.000 0.000 0.000
2 Co 0.500 0.500 0.500
3 Co 0.000 0.000 0.500
4 Au 0.000 0.500 0.000
5 Au 0.500 0.000 0.000

Values from the calculation:
The value obtained for the total magnetization is 2.23 μB/f.u. The calculated volume comes out at 128 Å³ per cell. The space-group type is P4/mmm, No. 123.

---

Relative energies, meV/atom: arrangement 1 0; arrangement 2 1618.

---

Arrangement 1

This record from Alexandria via LeMat-Bulk describes YCo3Au after structural relaxation. The functional is PBE.

abc: 4.601 4.601 4.601
angles: 90.00 90.00 90.00
Element x y z (fractional)
1 Y 0.000 0.000 0.000
2 Co 0.000 0.500 0.000
3 Co 0.000 0.000 0.500
4 Co 0.500 0.000 0.000
5 Au 0.500 0.500 0.500

Values from the calculation:
The value obtained for the total magnetization is 3.13 μB/f.u. The calculated volume comes out at 97 Å³ per cell. The space-group type is Pm-3m, No. 221.

---

Arrangement 2

This record from Alexandria via LeMat-Bulk describes YCo3Au after structural relaxation. The functional is PBE.

abc: 4.694 4.694 4.694
angles: 90.00 90.00 90.00
Element x y z (fractional)
1 Y 0.500 0.500 0.500
2 Co 0.000 0.500 0.000
3 Co 0.000 0.000 0.500
4 Co 0.500 0.000 0.000
5 Au 0.000 0.000 0.000

Values from the calculation:
The value obtained for the total magnetization is 5.30 μB/f.u. The calculated volume comes out at 103 Å³ per cell. The space-group type is Pm-3m, No. 221.

---

Relative energies, meV/atom: arrangement 1 779; arrangement 2 0.

---

Arrangement 1

This record from Alexandria via LeMat-Bulk describes Y4CoAu after structural relaxation. The functional is PBE.

abc: 6.061 6.061 6.061
angles: 60.00 60.00 60.00
Element x y z (fractional)
1 Y 0.875 0.375 0.375
2 Y 0.375 0.375 0.875
3 Y 0.375 0.875 0.375
4 Y 0.375 0.375 0.375
5 Co 0.000 0.000 0.000
6 Au 0.750 0.750 0.750

Values from the calculation:
The value obtained for the total magnetization is 1.88 μB/f.u. The calculated volume comes out at 157 Å³ per cell. The space-group type is F-43m, No. 216.

---

Arrangement 2

This record from Alexandria via LeMat-Bulk describes Y4CoAu after structural relaxation. The functional is PBE.

abc: 6.139 8.000 8.000
angles: 112.90 106.41 106.41
Element x y z (fractional)
1 Y 0.802 0.654 0.781
2 Y 0.090 0.940 0.296
3 Y 0.698 0.219 0.346
4 Y 0.410 0.704 0.060
5 Y 0.590 0.296 0.940
6 Y 0.302 0.781 0.654
7 Y 0.910 0.060 0.704
8 Y 0.198 0.346 0.219
9 Co 0.250 0.000 0.000
10 Co 0.750 0.000 0.000
11 Au 0.750 0.632 0.368
12 Au 0.250 0.368 0.632

Values from the calculation:
The value obtained for the total magnetization is 0.00 μB/f.u. The calculated volume comes out at 311 Å³ per cell. The space-group type is C2/c, No. 15.

---

Relative energies, meV/atom: arrangement 1 1033; arrangement 2 0.

---

Arrangement 1

This record from Alexandria via LeMat-Bulk describes ZnCoAu after structural relaxation. The functional is PBE.

abc: 4.293 4.293 2.731
angles: 90.00 90.00 120.00
Element x y z (fractional)
1 Au 0.000 0.000 0.979
2 Co 0.667 0.333 0.402
3 Zn 0.333 0.667 0.618

Values from the calculation:
The value obtained for the total magnetization is 1.40 μB/f.u. The calculated volume comes out at 44 Å³ per cell. The space-group type is P3m1, No. 156.

---

Arrangement 2

This record from Alexandria via LeMat-Bulk describes ZnCoAu after structural relaxation. The functional is PBE.

abc: 5.325 3.675 27.207
angles: 151.22 155.90 46.37
Element x y z (fractional)
1 Co 0.236 0.484 0.995
2 Co 0.764 0.516 0.005
3 Zn 0.654 0.051 0.301
4 Zn 0.346 0.949 0.699
5 Au 0.782 0.874 0.678
6 Au 0.218 0.126 0.322

Values from the calculation:
The value obtained for the total magnetization is 1.52 μB/f.u. The calculated volume comes out at 87 Å³ per cell. The space-group type is P-1, No. 2.

---

Arrangement 3

This record from Alexandria via LeMat-Bulk describes ZnCoAu after structural relaxation. The functional is PBE.

abc: 4.140 4.140 4.140
angles: 60.00 60.00 60.00
Element x y z (fractional)
1 Au 0.500 0.500 0.500
2 Co 0.750 0.750 0.750
3 Zn 0.000 0.000 0.000

Values from the calculation:
The value obtained for the total magnetization is 1.38 μB/f.u. The calculated volume comes out at 50 Å³ per cell. The space-group type is F-43m, No. 216.

---

Relative energies, meV/atom: arrangement 1 130; arrangement 2 0; arrangement 3 298.

---

Arrangement 1

This record from Alexandria via LeMat-Bulk describes ZnCoAu after structural relaxation. The functional is PBE.

abc: 4.870 4.870 4.870
angles: 146.47 137.10 55.51
Element x y z (fractional)
1 Au 0.999 0.999 0.000
2 Co 0.322 0.322 0.000
3 Zn 0.678 0.678 0.000

Values from the calculation:
The value obtained for the total magnetization is 1.29 μB/f.u. The calculated volume comes out at 43 Å³ per cell. The space-group type is Imm2, No. 44.

---

Arrangement 2

This record from Alexandria via LeMat-Bulk describes ZnCoAu after structural relaxation. The functional is PBE.

abc: 5.966 5.966 2.767
angles: 76.59 76.59 26.82
Element x y z (fractional)
1 Au 0.996 0.996 0.004
2 Co 0.325 0.325 0.675
3 Zn 0.679 0.679 0.321

Values from the calculation:
The value obtained for the total magnetization is 1.31 μB/f.u. The calculated volume comes out at 43 Å³ per cell. The space-group type is I4mm, No. 107.

---

Relative energies, meV/atom: arrangement 1 37; arrangement 2 0.

---

Arrangement 1

This record from Alexandria via LeMat-Bulk describes Zn2CoAu2 after structural relaxation. The functional is PBE.

abc: 6.635 6.635 3.585
angles: 90.00 90.00 90.00
Element x y z (fractional)
1 Co 0.000 0.000 0.000
2 Co 0.500 0.500 0.000
3 Zn 0.364 0.864 0.000
4 Zn 0.864 0.636 0.000
5 Zn 0.636 0.136 0.000
6 Zn 0.136 0.364 0.000
7 Au 0.169 0.669 0.500
8 Au 0.669 0.831 0.500
9 Au 0.831 0.331 0.500
10 Au 0.331 0.169 0.500

Values from the calculation:
The value obtained for the total magnetization is 1.53 μB/f.u. The calculated volume comes out at 158 Å³ per cell. The space-group type is P4/mbm, No. 127.

---

Arrangement 2

This record from Alexandria via LeMat-Bulk describes Zn2CoAu2 after structural relaxation. The functional is PBE.

abc: 7.386 7.386 2.983
angles: 90.00 90.00 90.00
Element x y z (fractional)
1 Co 0.000 0.000 0.000
2 Co 0.500 0.500 0.000
3 Zn 0.159 0.659 0.500
4 Zn 0.659 0.841 0.500
5 Zn 0.841 0.341 0.500
6 Zn 0.341 0.159 0.500
7 Au 0.357 0.857 0.000
8 Au 0.857 0.643 0.000
9 Au 0.643 0.143 0.000
10 Au 0.143 0.357 0.000

Values from the calculation:
The value obtained for the total magnetization is 1.65 μB/f.u. The calculated volume comes out at 163 Å³ per cell. The space-group type is P4/mbm, No. 127.

---

Relative energies, meV/atom: arrangement 1 0; arrangement 2 9.